Entry 1:
Computed, not measured: a relaxed structure of MgZnTe2 at the PBE-GGA level of DFT.

a = 7.7543 Å, b = 4.4768 Å, c = 7.8069 Å
α = 90.00°, β = 109.31°, γ = 90.00°
Fractional coordinates of all 8 atoms:
1 Mg 0.0000 0.0000 0.0000
2 Mg 0.5000 0.5000 0.0000
3 Zn 0.9997 0.5000 0.5012
4 Zn 0.4997 0.0000 0.5012
5 Te 0.3715 0.5000 0.6167
6 Te 0.3791 0.0000 0.1376
7 Te 0.8715 0.0000 0.6167
8 Te 0.8791 0.5000 0.1376

N(E_F) (states/eV/cell): 0.00
Space group: Cm (8)
Formation energy from raw total energies (meV per atom): -655
Electronic total energy (eV/atom): -2.9428

Entry 2:
Computed, not measured: a relaxed structure of InAgP2O at the PBE-GGA level of DFT.

a = 4.9446 Å, b = 4.9446 Å, c = 3.9754 Å
α = 90.00°, β = 90.00°, γ = 90.00°
Fractional coordinates of all 5 atoms:
1 In 0.0000 0.0000 0.0000
2 Ag 0.5000 0.5000 0.5000
3 P 0.0000 0.5000 0.5000
4 P 0.5000 0.0000 0.5000
5 O 0.5000 0.5000 0.0000

N(E_F) (states/eV/cell): 5.43
Space group: P4/mmm (123)
Formation energy from raw total energies (meV per atom): 705
Distance to the lowest polymorph of the same formula (meV/atom): 0.0
Electronic total energy (eV/atom): -3.5682

Entry 3:
Computed, not measured: a relaxed structure of MnGaIrOs at the PBE-GGA level of DFT.

a = 6.0488 Å, b = 6.0488 Å, c = 6.0488 Å
α = 90.00°, β = 90.00°, γ = 90.00°
Fractional coordinates of all 16 atoms:
1 Mn 0.0000 0.0000 0.0000
2 Mn 0.0000 0.5000 0.5000
3 Mn 0.5000 0.0000 0.5000
4 Mn 0.5000 0.5000 0.0000
5 Ga 0.0000 0.0000 0.5000
6 Ga 0.0000 0.5000 0.0000
7 Ga 0.5000 0.0000 0.0000
8 Ga 0.5000 0.5000 0.5000
9 Ir 0.2500 0.2500 0.7500
10 Ir 0.2500 0.7500 0.2500
11 Ir 0.7500 0.2500 0.2500
12 Ir 0.7500 0.7500 0.7500
13 Os 0.2500 0.2500 0.2500
14 Os 0.2500 0.7500 0.7500
15 Os 0.7500 0.2500 0.7500
16 Os 0.7500 0.7500 0.2500

N(E_F) (states/eV/cell): 9.75
Space group: F-43m (216)
Energy of formation from the pure elements (meV per atom): -165
Electronic total energy (eV/atom): -8.2366

Entry 4:
Computed, not measured: a relaxed structure of Ac4Si2SCl at the PBE-GGA level of DFT.

a = 6.3105 Å, b = 6.3105 Å, c = 12.5536 Å
α = 90.00°, β = 90.00°, γ = 90.00°
Fractional coordinates of all 16 atoms:
1 Ac 0.0000 0.0000 0.2423
2 Ac 0.0000 0.0000 0.7577
3 Ac 0.0000 0.5000 0.0000
4 Ac 0.0000 0.5000 0.5000
5 Ac 0.5000 0.0000 0.0000
6 Ac 0.5000 0.0000 0.5000
7 Ac 0.5000 0.5000 0.2577
8 Ac 0.5000 0.5000 0.7423
9 Si 0.0000 0.5000 0.2500
10 Si 0.0000 0.5000 0.7500
11 Si 0.5000 0.0000 0.2500
12 Si 0.5000 0.0000 0.7500
13 S 0.0000 0.0000 0.0000
14 S 0.5000 0.5000 0.5000
15 Cl 0.0000 0.0000 0.5000
16 Cl 0.5000 0.5000 0.0000

N(E_F) (states/eV/cell): 6.07
Space group: I4/mmm (139)
Formation energy from raw total energies (meV per atom): -1218
Electronic total energy (eV/atom): -5.3746